Below is a relaxed structure of MnCdNiMo2, with properties calculated at the PBE-GGA level.

Lattice parameters (Å, degrees): 4.4558 4.4558 4.6003 90.00 90.00 90.00
Last column: nearest neighbours and their distance in Å.
Space group P4/mmm (No. 123)
Inequivalent atoms, fractional coordinates:
Mn 0.0000 0.0000 0.0000 [1 per cell]  4 Cd 3.15, 8 Mo 3.20
Cd 0.5000 0.5000 0.0000 [1 per cell]  2 Ni 2.30
Ni 0.5000 0.5000 0.5000 [1 per cell]  4 Mo 2.23, 2 Cd 2.30
Mo 0.0000 0.5000 0.5000 [2 per cell]  2 Ni 2.23

## Properties
**Relative energy among the computed polymorphs**: 0.000 eV per atom
**DFT total energy**: -29.541 eV for the cell shown
**Energy of formation**: 1.5974 eV/atom